Entry 1:
A plane-wave DFT calculation with GGA-PBE was carried out for La6Tb8Cd after structural relaxation.

## Properties
Energy relative to the elements, kJ per mole of atoms: 7.02
Electronic total energy, eV per cell: -66.4
Magnetization, Bohr magnetons per cell: 0.000
ρ, g/cm³: 7.17

Structure (POSCAR):
```
La6Tb8Cd
1.0
-1.160 3.072 -5.513
1.717 -8.107 -4.878
-8.912 2.012 2.997
La Tb Cd
6 8 1
Cartesian
-0.501 -2.870 -6.641 La
-4.121 -4.164 -6.600 La
-3.257 -0.817 -4.917 La
-7.855 -0.153 -0.753 La
-4.235 1.141 -0.794 La
-5.100 -2.206 -2.477 La
-3.176 2.656 -3.888 Tb
-6.650 -1.945 -5.720 Tb
-9.096 2.653 -2.644 Tb
-5.180 -5.680 -3.506 Tb
-1.707 -1.078 -1.674 Tb
0.740 -5.677 -4.751 Tb
-6.323 1.164 -4.159 Tb
-2.033 -4.187 -3.235 Tb
-0.580 1.536 -2.757 Cd
```

Entry 2:
A plane-wave DFT calculation with GGA-PBE was carried out for CrTc2HOs after structural relaxation.

## Properties
Electronic total energy, eV per cell: -44.5
Magnetization, Bohr magnetons per cell: 0.013
ρ, g/cm³: 12.68

Structure (POSCAR):
```
CrTc2HOs
1.0
3.871 0.000 0.000
0.000 3.871 0.000
0.000 0.000 3.837
Cr Os Tc H
1 1 2 1
Cartesian
0.000 0.000 1.919 Cr
1.936 1.936 1.919 Os
0.000 1.936 0.000 Tc
1.936 0.000 0.000 Tc
0.000 0.000 0.000 H
```

Entry 3:
A plane-wave DFT calculation with GGA-PBE was carried out for NdSn4Rh4 after structural relaxation.

## Properties
Energy relative to the elements, kJ per mole of atoms: -36.71
Electronic total energy, eV per cell: -107.2
Magnetization, Bohr magnetons per cell: 0.000
ρ, g/cm³: 8.40

Structure (POSCAR):
```
NdSn4Rh4
1.0
5.160 0.000 0.000
0.000 8.886 0.000
0.000 0.000 8.886
Nd Sn Rh
2 8 8
Cartesian
0.000 0.000 0.000 Nd
2.580 4.443 4.443 Nd
2.554 3.166 8.009 Sn
5.134 5.321 7.609 Sn
2.554 5.720 0.877 Sn
0.026 1.277 5.321 Sn
2.606 8.009 5.720 Sn
0.026 7.609 3.566 Sn
5.134 3.566 1.277 Sn
2.606 0.877 3.166 Sn
2.606 7.050 3.112 Rh
2.606 1.837 5.775 Rh
0.026 7.555 6.280 Rh
5.134 2.606 7.555 Rh
5.134 6.280 1.332 Rh
2.554 3.112 1.837 Rh
2.554 5.775 7.050 Rh
0.026 1.332 2.606 Rh
```

Entry 4:
A plane-wave DFT calculation with GGA-PBE was carried out for MnNi2Mo after structural relaxation.

## Properties
Energy relative to the elements, kJ per mole of atoms: 1.50
Electronic total energy, eV per cell: -31.5
Magnetization, Bohr magnetons per cell: 4.099
Energy above the lowest structure with this stoichiometry, eV/f.u.: 0.21
ρ, g/cm³: 8.79

Structure (POSCAR):
```
MnNi2Mo
1.0
-2.365 1.128 -0.238
-0.688 -0.945 2.357
2.574 6.069 3.186
Mn Mo Ni
1 1 2
Cartesian
-0.883 1.609 1.856 Mn
0.404 4.643 3.448 Mo
0.028 0.067 0.035 Ni
1.259 2.967 1.558 Ni
```